Entry from the Alexandria database: a geometry-optimized MgZr2NbSn structure (GGA-PBEsol).

Cell lengths 5.2479, 5.2479, 5.0728 Å; angles 90.00, 90.00, 90.00 degrees
Space group P4/mmm (No. 123)
One atom of each set of equivalent atoms:
Mg: 0.0000 0.0000 0.0000 x1
Zr: 0.0000 0.5000 0.5000 x2
Nb: 0.5000 0.5000 0.0000 x1
Sn: 0.5000 0.5000 0.5000 x1

calculated formation energy: 1.010 eV/atom
magnetic moment: 0.22 μB per cell
DOS(E_F): 1.086 states/eV/atom

Entry from the Alexandria database: a geometry-optimized Sr3MgNb structure (GGA-PBEsol).

Cell lengths 6.1174, 6.1174, 6.1174 Å; angles 90.00, 90.00, 90.00 degrees
Space group Pm-3m (No. 221)
One atom of each set of equivalent atoms:
Sr: 0.0000 0.0000 0.5000 x3
Mg: 0.0000 0.0000 0.0000 x1
Nb: 0.5000 0.5000 0.5000 x1

calculated formation energy: 1.170 eV/atom
magnetic moment: 4.41 μB per cell
DOS(E_F): 0.992 states/eV/atom

Entry from the Alexandria database: a geometry-optimized MgNbTe3 structure (GGA-PBEsol).

Cell lengths 5.3832, 5.3832, 5.3832 Å; angles 90.00, 90.00, 90.00 degrees
Space group Pm-3m (No. 221)
One atom of each set of equivalent atoms:
Mg: 0.0000 0.0000 0.0000 x1
Nb: 0.5000 0.5000 0.5000 x1
Te: 0.0000 0.5000 0.5000 x3

E_form (uncorrected): 0.109 eV per atom
magnetic moment: 0.00 μB per cell
DOS(E_F): 0.847 states/eV/atom